The following is a DFT calculation (PBE-GGA) of a geometry-optimized Cs2ZnHgBr structure.

Unit cell a=6.995 b=6.010 c=6.995 alpha=90.00 beta=90.00 gamma=90.00
Fractional coordinates of all 5 atoms:
Cs1 0.000 0.000 0.500
Cs2 0.500 0.000 0.000
Zn1 0.000 0.000 0.000
Hg1 0.500 0.500 0.500
Br1 0.000 0.500 0.000

Properties
The calculation puts the density of states at the Fermi level at 2.85 states/eV/cell. The calculated total energy comes out at -1.315 eV/atom.


The following is a DFT calculation (PBE-GGA) of a geometry-optimized Cs2Zn2HgBr6 structure.

Unit cell a=7.742 b=10.121 c=10.048 alpha=110.96 beta=113.46 gamma=40.00
Fractional coordinates of all 11 atoms:
Cs1 0.020 0.249 0.754
Cs2 0.980 0.751 0.246
Zn1 0.025 0.837 0.853
Zn2 0.975 0.163 0.147
Hg1 0.500 0.000 0.500
Br1 0.337 0.773 0.100
Br2 0.185 0.258 0.159
Br3 0.237 0.733 0.666
Br4 0.815 0.742 0.841
Br5 0.763 0.267 0.334
Br6 0.663 0.227 0.900

Properties
The calculation puts the density of states at the Fermi level at 0.00 states/eV/cell. The calculated total energy comes out at -2.484 eV/atom.


| no. | E_form (uncorrected) (eV/atom) |
| --- | --- |
| 1 | -0.324 |
| 2 | -1.157 |